[1]
DFT (PBE-GGA) results for BTeHI2 after structural relaxation.

a = 5.652 Å, b = 5.652 Å, c = 3.904 Å
α = 90.00°, β = 90.00°, γ = 90.00°
Fractional positions:
B  0.000  0.000  0.000
Te  0.500  0.500  0.000
H  0.500  0.500  0.500
I  0.000  0.500  0.500
I  0.500  0.000  0.500

Summary:
calculated density = 5.23 g/cm³
electronic total energy = -10.21 eV/f.u.

[2]
DFT (PBE-GGA) results for B2TeHI after structural relaxation.

a = 4.757 Å, b = 4.757 Å, c = 3.863 Å
α = 90.00°, β = 90.00°, γ = 90.00°
Fractional positions:
B  0.000  0.500  0.000
B  0.500  0.000  0.000
Te  0.000  0.000  0.000
H  0.000  0.000  0.500
I  0.500  0.500  0.500

Summary:
calculated density = 5.27 g/cm³
electronic total energy = -14.27 eV/f.u.

[3]
DFT (PBE-GGA) results for BTe2HI after structural relaxation.

a = 4.296 Å, b = 4.296 Å, c = 8.232 Å
α = 90.00°, β = 90.00°, γ = 90.00°
Fractional positions:
B  0.000  0.000  0.000
Te  0.000  0.500  0.500
Te  0.500  0.000  0.500
H  0.500  0.500  0.500
I  0.500  0.500  0.000

Summary:
calculated density = 4.31 g/cm³
electronic total energy = -12.34 eV/f.u.

[4]
DFT (PBE-GGA) results for BTeHI2 after structural relaxation.

a = 5.321 Å, b = 5.321 Å, c = 4.749 Å
α = 90.00°, β = 90.00°, γ = 90.00°
Fractional positions:
B  0.000  0.000  0.000
Te  0.000  0.000  0.500
H  0.500  0.500  0.500
I  0.000  0.500  0.000
I  0.500  0.000  0.000

Summary:
calculated density = 4.86 g/cm³
electronic total energy = -10.73 eV/f.u.

[5]
DFT (PBE-GGA) results for InB3H12 after structural relaxation.

a = 7.860 Å, b = 7.860 Å, c = 7.860 Å
α = 53.95°, β = 53.95°, γ = 53.95°
Fractional positions:
In  0.000  0.000  0.000
In  0.500  0.500  0.500
B  0.086  0.344  0.714
B  0.214  0.844  0.586
B  0.344  0.714  0.086
B  0.586  0.214  0.844
B  0.714  0.086  0.344
B  0.844  0.586  0.214
H  0.020  0.474  0.109
H  0.109  0.020  0.474
H  0.125  0.197  0.663
H  0.161  0.815  0.780
H  0.163  0.697  0.625
H  0.197  0.663  0.125
H  0.280  0.315  0.661
H  0.315  0.661  0.280
H  0.325  0.914  0.987
H  0.414  0.825  0.487
H  0.474  0.109  0.020
H  0.487  0.414  0.825
H  0.520  0.609  0.974
H  0.609  0.974  0.520
H  0.625  0.163  0.697
H  0.661  0.280  0.315
H  0.663  0.125  0.197
H  0.697  0.625  0.163
H  0.780  0.161  0.815
H  0.815  0.780  0.161
H  0.825  0.487  0.414
H  0.914  0.987  0.325
H  0.974  0.520  0.609
H  0.987  0.325  0.914

Summary:
calculated density = 1.79 g/cm³
electronic total energy = -62.64 eV/f.u.

[6]
DFT (PBE-GGA) results for InB2H6 after structural relaxation.

a = 4.594 Å, b = 4.616 Å, c = 5.509 Å
α = 111.25°, β = 97.61°, γ = 112.74°
Fractional positions:
In  0.000  0.000  0.000
B  0.489  0.651  0.146
B  0.511  0.349  0.854
H  0.245  0.086  0.685
H  0.306  0.769  0.077
H  0.386  0.549  0.314
H  0.614  0.451  0.686
H  0.694  0.231  0.923
H  0.755  0.914  0.315

Summary:
calculated density = 2.48 g/cm³
electronic total energy = -35.19 eV/f.u.

[7]
DFT (PBE-GGA) results for In2BH after structural relaxation.

a = 4.347 Å, b = 4.347 Å, c = 4.347 Å
α = 60.00°, β = 60.00°, γ = 60.00°
Fractional positions:
In  0.250  0.250  0.250
In  0.750  0.750  0.750
B  0.000  0.000  0.000
H  0.500  0.500  0.500

Summary:
calculated density = 6.90 g/cm³
electronic total energy = -11.97 eV/f.u.

[8]
DFT (PBE-GGA) results for InBH after structural relaxation.

a = 10.402 Å, b = 10.402 Å, c = 3.121 Å
α = 90.00°, β = 90.00°, γ = 164.47°
Fractional positions:
In  0.179  0.821  0.750
In  0.821  0.179  0.250
B  0.487  0.513  0.750
B  0.513  0.487  0.250
H  0.042  0.958  0.250
H  0.958  0.042  0.750

Summary:
calculated density = 4.65 g/cm³
electronic total energy = -11.29 eV/f.u.

[9]
DFT (PBE-GGA) results for InBH2 after structural relaxation.

a = 4.969 Å, b = 4.969 Å, c = 4.969 Å
α = 122.12°, β = 122.12°, γ = 86.37°
Fractional positions:
In  0.375  0.625  0.750
In  0.625  0.375  0.250
B  0.125  0.875  0.250
B  0.875  0.125  0.750
H  0.000  0.000  0.000
H  0.000  0.000  0.500
H  0.000  0.500  0.000
H  0.500  0.000  0.500

Summary:
calculated density = 5.06 g/cm³
electronic total energy = -13.20 eV/f.u.

[10]
DFT (PBE-GGA) results for InB2H after structural relaxation.

a = 8.392 Å, b = 8.392 Å, c = 8.392 Å
α = 157.36°, β = 157.36°, γ = 32.24°
Fractional positions:
In  0.375  0.625  0.750
In  0.625  0.375  0.250
B  0.000  0.000  0.000
B  0.000  0.000  0.500
B  0.000  0.500  0.000
B  0.500  0.000  0.500
H  0.125  0.875  0.250
H  0.875  0.125  0.750

Summary:
calculated density = 5.22 g/cm³
electronic total energy = -16.11 eV/f.u.

[11]
DFT (PBE-GGA) results for InB2H6 after structural relaxation.

a = 5.202 Å, b = 5.202 Å, c = 7.851 Å
α = 99.99°, β = 99.99°, γ = 85.59°
Fractional positions:
In  0.032  0.968  0.750
In  0.968  0.032  0.250
B  0.016  0.380  0.078
B  0.380  0.016  0.578
B  0.620  0.984  0.422
B  0.984  0.620  0.922
H  0.056  0.505  0.227
H  0.202  0.232  0.043
H  0.203  0.708  0.968
H  0.232  0.202  0.543
H  0.292  0.797  0.532
H  0.495  0.944  0.273
H  0.505  0.056  0.727
H  0.708  0.203  0.468
H  0.768  0.798  0.457
H  0.797  0.292  0.032
H  0.798  0.768  0.957
H  0.944  0.495  0.773

Summary:
calculated density = 2.30 g/cm³
electronic total energy = -35.42 eV/f.u.

[12]
DFT (PBE-GGA) results for InB2H6 after structural relaxation.

a = 4.362 Å, b = 4.758 Å, c = 5.101 Å
α = 91.90°, β = 110.47°, γ = 112.53°
Fractional positions:
In  0.000  0.000  0.000
B  0.100  0.661  0.663
B  0.900  0.339  0.337
H  0.222  0.410  0.400
H  0.254  0.581  0.876
H  0.275  0.905  0.612
H  0.725  0.095  0.388
H  0.746  0.419  0.124
H  0.778  0.590  0.600

Summary:
calculated density = 2.63 g/cm³
electronic total energy = -35.42 eV/f.u.

- Look up the electronic total energy of the fourth one.
  -10.73 eV/f.u.